CrFe2Cu: relaxed, PBE-GGA.

```
CrFe2Cu
1.0
-4.186 0.476 1.300
1.237 -4.199 0.527
0.793 0.530 2.360
Cr Fe Cu
1 2 1
direct
0.500 0.000 0.500
0.000 0.000 0.000
0.500 0.500 0.000
0.000 0.500 0.500
```

The value obtained for the density of states at the Fermi level is 0.996 states/eV per atom. As for the energy of formation from the pure elements: 199 meV per atom. Its space group is No. 65.


K2ZrSi: relaxed, PBE-GGA.

```
K2ZrSi
1.0
-10.431 -0.801 -2.697
-10.484 -2.544 0.578
-1.387 3.233 1.698
Si K Zr
1 2 1
direct
0.750 0.750 0.750
0.096 0.096 0.897
0.404 0.404 0.603
0.250 0.250 0.250
```

The value obtained for the density of states at the Fermi level is 0.849 states/eV per atom. As for the raw formation energy: 0.064 eV per atom. Its space group is No. 12.


TlPt3C: relaxed, PBE-GGA.

```
TlPt3C
1.0
-2.314 2.467 -2.642
1.139 -2.480 -3.312
-3.430 -2.487 0.682
C Pt Tl
1 3 1
direct
0.000 0.000 0.000
0.000 0.000 0.500
0.500 0.000 0.000
0.000 0.500 0.000
0.500 0.500 0.500
```

The energy above the most stable polymorph in this dataset comes out at 0 meV/atom. The value obtained for the density of states at the Fermi level is 0.794 states/eV per atom. As for the energy of formation from the pure elements: 447 meV per atom. Its space group is No. 221.


Sm4Er5Tm2: relaxed, PBE-GGA.

```
Sm4Er5Tm2
1.0
-2.030 0.758 -2.733
-4.260 -7.660 1.042
-5.710 6.531 8.278
Er Sm Tm
5 4 2
direct
0.820 0.101 0.640
0.500 0.000 0.000
0.180 0.899 0.360
0.768 0.672 0.537
0.232 0.328 0.463
0.629 0.533 0.258
0.973 0.308 0.947
0.371 0.467 0.742
0.027 0.692 0.053
0.102 0.192 0.204
0.898 0.808 0.796
```

The energy above the most stable polymorph in this dataset comes out at 118 meV/atom. The value obtained for the density of states at the Fermi level is 1.527 states/eV per atom. As for the energy of formation from the pure elements: 229 meV per atom. Its space group is No. 12.


DyNiAg: relaxed, PBE-GGA.

```
DyNiAg
1.0
-3.193 -0.112 1.528
-1.888 -0.345 -3.969
1.182 -3.632 2.202
Dy Ni Ag
1 1 1
direct
0.667 0.667 0.333
0.166 0.000 0.000
0.167 0.333 0.667
```

The energy above the most stable polymorph in this dataset comes out at 170 meV/atom. The value obtained for the density of states at the Fermi level is 0.574 states/eV per atom. As for the energy of formation from the pure elements: -219 meV per atom. Its space group is No. 156.


CsCuP2Se8: relaxed, PBE-GGA.

```
CsCuP2Se8
1.0
5.746 0.000 0.000
2.873 4.977 0.000
2.873 1.659 12.602
Se Cs P Cu
8 1 2 1
direct
0.907 0.649 0.135
0.792 0.792 0.623
0.309 0.907 0.135
0.649 0.309 0.135
0.208 0.208 0.377
0.351 0.691 0.865
0.093 0.351 0.865
0.691 0.093 0.865
0.500 0.500 0.500
0.264 0.264 0.207
0.736 0.736 0.793
0.000 0.000 0.000
```

The value obtained for the density of states at the Fermi level is 0.340 states/eV per atom. As for the raw formation energy: -0.134 eV per atom. Its space group is No. 148.


AcTbInIr: relaxed, PBE-GGA.

```
AcTbInIr
1.0
5.321 0.000 0.000
2.661 4.608 0.000
2.661 1.536 4.345
In Ir Tb Ac
1 1 1 1
direct
0.500 0.500 0.500
0.000 0.000 0.000
0.250 0.250 0.250
0.750 0.750 0.750
```

The value obtained for the density of states at the Fermi level is 0.985 states/eV per atom. As for the energy of formation from the pure elements: -348 meV per atom. Its space group is No. 216.


SiAuCl2: relaxed, PBE-GGA.

```
SiAuCl2
1.0
-0.999 2.866 0.962
-1.741 0.398 -2.993
-6.895 -3.591 3.535
Cl Au Si
2 1 1
direct
0.000 0.000 0.933
0.500 0.500 0.291
0.500 0.500 0.581
0.000 0.000 0.695
```

The energy above the most stable polymorph in this dataset comes out at 107 meV/atom. The value obtained for the density of states at the Fermi level is 0.596 states/eV per atom. As for the raw formation energy: -0.291 eV per atom. Its space group is No. 25.


KAlBr3: relaxed, PBE-GGA.

```
KAlBr3
1.0
5.385 0.000 0.000
0.000 5.385 0.000
0.000 0.000 5.385
Al Br K
1 3 1
direct
0.000 0.000 0.000
0.500 0.000 0.000
0.000 0.000 0.500
0.000 0.500 0.000
0.500 0.500 0.500
```

The energy above the most stable polymorph in this dataset comes out at 0 meV/atom. The value obtained for the density of states at the Fermi level is 0.319 states/eV per atom. As for the raw formation energy: -1.111 eV per atom. Its space group is No. 221.


BaLiTl2: relaxed, PBE-GGA.

```
BaLiTl2
1.0
-0.650 2.701 -2.737
-2.914 1.291 1.966
1.987 6.449 5.891
Tl Ba Li
2 1 1
direct
0.000 0.058 0.943
0.000 0.442 0.557
0.500 0.250 0.250
0.500 0.750 0.750
```

The value obtained for the density of states at the Fermi level is 0.445 states/eV per atom. As for the energy of formation from the pure elements: -291 meV per atom. Its space group is No. 10.


CaTlHgRh: relaxed, PBE-GGA.

```
CaTlHgRh
1.0
4.962 0.000 0.000
2.481 4.297 0.000
2.481 1.432 4.052
Rh Tl Hg Ca
1 1 1 1
direct
0.750 0.750 0.750
0.000 0.000 0.000
0.500 0.500 0.500
0.250 0.250 0.250
```

The value obtained for the density of states at the Fermi level is 0.456 states/eV per atom. As for the energy of formation from the pure elements: -198 meV per atom. Its space group is No. 216.


LiSbPt2: relaxed, PBE-GGA.

```
LiSbPt2
1.0
-1.918 1.351 2.507
-2.516 0.613 -2.254
-2.205 -5.118 1.070
Sb Li Pt
1 1 2
direct
0.500 0.500 0.250
0.500 0.500 0.750
0.000 0.000 0.510
0.000 0.000 0.990
```

The value obtained for the density of states at the Fermi level is 0.302 states/eV per atom. As for the raw formation energy: -0.414 eV per atom. Its space group is No. 123.


Repeat the sixth record exactly.
CsCuP2Se8: relaxed, PBE-GGA.

```
CsCuP2Se8
1.0
5.746 0.000 0.000
2.873 4.977 0.000
2.873 1.659 12.602
Se Cs P Cu
8 1 2 1
direct
0.907 0.649 0.135
0.792 0.792 0.623
0.309 0.907 0.135
0.649 0.309 0.135
0.208 0.208 0.377
0.351 0.691 0.865
0.093 0.351 0.865
0.691 0.093 0.865
0.500 0.500 0.500
0.264 0.264 0.207
0.736 0.736 0.793
0.000 0.000 0.000
```

The value obtained for the density of states at the Fermi level is 0.340 states/eV per atom. As for the raw formation energy: -0.134 eV per atom. Its space group is No. 148.


Q: Number 1 is which compound?
A: CrFe2Cu